A plane-wave DFT calculation with GGA+U was carried out for a relaxed structure of ZrTcMoF.

The structure in POSCAR format:
```
ZrTcMoF
1.0
3.202 0.000 0.000
0.000 1.907 5.390
0.000 -1.907 5.390
Zr Tc Mo F
1 1 1 1
direct
0.000 0.000 0.000
0.000 0.711 0.711
0.500 0.236 0.236
0.500 0.448 0.448
```

Calculated values
volume	65.8	Å³/cell
energy above the most stable polymorph in this dataset	360	meV/atom
space-group type	Amm2